Entry 1:
YGeS2N after structural relaxation. Source: the Alexandria database, functional PBE-GGA.

a b c (Å): 5.2787 5.2787 4.3718
angles (deg): 90.00 90.00 90.00
Fractional coordinates of all 5 atoms:
Y (0.0000, 0.0000, 0.0000)
Ge (0.5000, 0.5000, 0.5000)
S (0.0000, 0.5000, 0.0000)
S (0.5000, 0.0000, 0.0000)
N (0.0000, 0.0000, 0.5000)

Summary:
raw total energy = -5.3558 eV per atom
formation energy from raw total energies = 0.177 eV/atom

=====

Entry 2:
Ho3TlRh4 after structural relaxation. Source: the Alexandria database, functional PBE-GGA.

a b c (Å): 4.7267 4.7267 6.8760
angles (deg): 90.00 90.00 90.00
Fractional coordinates of all 8 atoms:
Ho (0.0000, 0.0000, 0.0000)
Ho (0.0000, 0.0000, 0.5000)
Ho (0.5000, 0.5000, 0.0000)
Tl (0.5000, 0.5000, 0.5000)
Rh (0.0000, 0.5000, 0.2453)
Rh (0.0000, 0.5000, 0.7547)
Rh (0.5000, 0.0000, 0.2453)
Rh (0.5000, 0.0000, 0.7547)

Summary:
raw total energy = -6.4116 eV per atom
formation energy = -16.7 kcal/mol of atoms

=====

Entry 3:
PrDy2Hg2 after structural relaxation. Source: the Alexandria database, functional PBE-GGA.

a b c (Å): 5.2516 5.2516 6.3865
angles (deg): 90.00 90.00 120.00
Fractional coordinates of all 5 atoms:
Pr (0.0000, 0.0000, 0.0000)
Dy (0.3333, 0.6667, 0.6592)
Dy (0.6667, 0.3333, 0.3408)
Hg (0.3333, 0.6667, 0.1825)
Hg (0.6667, 0.3333, 0.8175)

Summary:
raw total energy = -3.1413 eV per atom
formation energy = -5.2 kcal/mol of atoms

=====

Entry 4:
Pu4InAu3 after structural relaxation. Source: the Alexandria database, functional PBE-GGA.

a b c (Å): 8.9812 8.9812 8.9812
angles (deg): 33.69 33.69 33.69
Fractional coordinates of all 8 atoms:
Pu (0.1180, 0.1180, 0.1180)
Pu (0.3690, 0.3690, 0.3690)
Pu (0.6310, 0.6310, 0.6310)
Pu (0.8820, 0.8820, 0.8820)
In (0.5000, 0.5000, 0.5000)
Au (0.0000, 0.0000, 0.0000)
Au (0.2412, 0.2412, 0.2412)
Au (0.7588, 0.7588, 0.7588)

Summary:
raw total energy = -9.0454 eV per atom
formation energy = -7.1 kcal/mol of atoms

=====

Entry 5:
TiNbRu2C after structural relaxation. Source: the Alexandria database, functional PBE-GGA.

a b c (Å): 4.6407 4.6407 4.8486
angles (deg): 90.00 90.00 90.00
Fractional coordinates of all 5 atoms:
Ti (0.0000, 0.0000, 0.0000)
Nb (0.0000, 0.0000, 0.5000)
Ru (0.0000, 0.5000, 0.5000)
Ru (0.5000, 0.0000, 0.5000)
C (0.5000, 0.5000, 0.0000)

Summary:
raw total energy = -6.5660 eV per atom
formation energy = 59.5 kcal/mol of atoms

=====

Entry 6:
SrAcNdTm after structural relaxation. Source: the Alexandria database, functional PBE-GGA.

a b c (Å): 8.5951 8.5951 8.5951
angles (deg): 90.00 90.00 90.00
Fractional coordinates of all 16 atoms:
Sr (0.0000, 0.0000, 0.0000)
Sr (0.0000, 0.5000, 0.5000)
Sr (0.5000, 0.0000, 0.5000)
Sr (0.5000, 0.5000, 0.0000)
Ac (0.2500, 0.2500, 0.2500)
Ac (0.2500, 0.7500, 0.7500)
Ac (0.7500, 0.2500, 0.7500)
Ac (0.7500, 0.7500, 0.2500)
Nd (0.0000, 0.0000, 0.5000)
Nd (0.0000, 0.5000, 0.0000)
Nd (0.5000, 0.0000, 0.0000)
Nd (0.5000, 0.5000, 0.5000)
Tm (0.2500, 0.2500, 0.7500)
Tm (0.2500, 0.7500, 0.2500)
Tm (0.7500, 0.2500, 0.2500)
Tm (0.7500, 0.7500, 0.7500)

Summary:
raw total energy = -3.5327 eV per atom
formation energy = 5.2 kcal/mol of atoms

=====

Entry 7:
Li2SmIn after structural relaxation. Source: the Alexandria database, functional PBE-GGA.

a b c (Å): 6.9488 6.9488 6.9488
angles (deg): 90.00 90.00 90.00
Fractional coordinates of all 16 atoms:
Li (0.2500, 0.2500, 0.2500)
Li (0.2500, 0.2500, 0.7500)
Li (0.2500, 0.7500, 0.2500)
Li (0.2500, 0.7500, 0.7500)
Li (0.7500, 0.2500, 0.2500)
Li (0.7500, 0.2500, 0.7500)
Li (0.7500, 0.7500, 0.2500)
Li (0.7500, 0.7500, 0.7500)
Sm (0.0000, 0.0000, 0.0000)
Sm (0.0000, 0.5000, 0.5000)
Sm (0.5000, 0.0000, 0.5000)
Sm (0.5000, 0.5000, 0.0000)
In (0.0000, 0.0000, 0.5000)
In (0.0000, 0.5000, 0.0000)
In (0.5000, 0.0000, 0.0000)
In (0.5000, 0.5000, 0.5000)

Summary:
raw total energy = -3.1268 eV per atom
formation energy = -7.0 kcal/mol of atoms

=====

Entry 8:
Ho6GeC2S3 after structural relaxation. Source: the Alexandria database, functional PBE-GGA.

a b c (Å): 8.6535 8.6535 7.8591
angles (deg): 103.56 103.56 25.14
Fractional coordinates of all 12 atoms:
Ho (0.0153, 0.0153, 0.2640)
Ho (0.3229, 0.3229, 0.4365)
Ho (0.3291, 0.3291, 0.8804)
Ho (0.6709, 0.6709, 0.1196)
Ho (0.6771, 0.6771, 0.5635)
Ho (0.9847, 0.9847, 0.7360)
Ge (0.5000, 0.5000, 0.0000)
C (0.1709, 0.1709, 0.3414)
C (0.8291, 0.8291, 0.6586)
S (0.1642, 0.1642, 0.8309)
S (0.5000, 0.5000, 0.5000)
S (0.8358, 0.8358, 0.1691)

Summary:
raw total energy = -6.5493 eV per atom
formation energy from raw total energies = -1.306 eV/atom

=====

Entry 9:
ThMg3Tl4 after structural relaxation. Source: the Alexandria database, functional PBE-GGA.

a b c (Å): 10.2093 7.9270 5.1082
angles (deg): 90.00 90.00 90.00
Fractional coordinates of all 16 atoms:
Th (0.0000, 0.0000, 0.0000)
Th (0.5000, 0.0000, 0.0000)
Mg (0.0000, 0.5000, 0.0000)
Mg (0.2500, 0.0000, 0.4990)
Mg (0.2500, 0.5000, 0.4971)
Mg (0.5000, 0.5000, 0.0000)
Mg (0.7500, 0.0000, 0.5010)
Mg (0.7500, 0.5000, 0.5029)
Tl (0.0000, 0.2674, 0.5000)
Tl (0.0000, 0.7326, 0.5000)
Tl (0.2500, 0.2675, 0.9983)
Tl (0.2500, 0.7325, 0.9983)
Tl (0.5000, 0.2674, 0.5000)
Tl (0.5000, 0.7326, 0.5000)
Tl (0.7500, 0.2675, 0.0017)
Tl (0.7500, 0.7325, 0.0017)

Summary:
raw total energy = -2.7734 eV per atom
formation energy = -1.5 kcal/mol of atoms

=====

Entry 10:
BaTcPC2 after structural relaxation. Source: the Alexandria database, functional PBE-GGA.

a b c (Å): 4.4391 4.4391 5.4103
angles (deg): 90.00 90.00 90.00
Fractional coordinates of all 5 atoms:
Ba (0.0000, 0.0000, 0.0000)
Tc (0.5000, 0.5000, 0.5000)
P (0.0000, 0.0000, 0.5000)
C (0.0000, 0.5000, 0.0000)
C (0.5000, 0.0000, 0.0000)

Summary:
raw total energy = -3.6804 eV per atom
formation energy = 81.8 kcal/mol of atoms

=====

Entry 11:
Tb3RhI3 after structural relaxation. Source: the Alexandria database, functional PBE-GGA.

a b c (Å): 8.9612 4.1977 12.3691
angles (deg): 90.00 93.45 90.00
Fractional coordinates of all 14 atoms:
Tb (0.0992, 0.2500, 0.3206)
Tb (0.1346, 0.2500, 0.8717)
Tb (0.2614, 0.7500, 0.1038)
Tb (0.7386, 0.2500, 0.8962)
Tb (0.8654, 0.7500, 0.1283)
Tb (0.9008, 0.7500, 0.6794)
Rh (0.0571, 0.2500, 0.0950)
Rh (0.9429, 0.7500, 0.9050)
I (0.1447, 0.2500, 0.6055)
I (0.3566, 0.7500, 0.3629)
I (0.4234, 0.7500, 0.8668)
I (0.5766, 0.2500, 0.1332)
I (0.6434, 0.2500, 0.6371)
I (0.8553, 0.7500, 0.3945)

Summary:
raw total energy = -4.8062 eV per atom
formation energy from raw total energies = -1.107 eV/atom

=====

Entry 12:
PdS2Br after structural relaxation. Source: the Alexandria database, functional PBE-GGA.

a b c (Å): 3.9784 6.6019 7.8905
angles (deg): 85.79 77.68 77.96
Fractional coordinates of all 8 atoms:
Pd (0.0072, 0.1962, 0.3284)
Pd (0.9928, 0.8038, 0.6716)
S (0.1475, 0.0950, 0.0158)
S (0.2637, 0.0793, 0.5682)
S (0.7363, 0.9207, 0.4318)
S (0.8525, 0.9050, 0.9842)
Br (0.4101, 0.4506, 0.2531)
Br (0.5899, 0.5494, 0.7469)

Summary:
raw total energy = -3.8948 eV per atom
formation energy from raw total energies = -0.115 eV/atom